1.
Tm3Zr2ScN6: relaxed, PBE.

a b c (Å): 7.4151 7.4151 6.6367
angles (deg): 103.21 103.21 25.79
Fractional coordinates of all 12 atoms:
Tm1 0.0000 0.0000 0.0000
Tm2 0.3348 0.3348 0.6654
Tm3 0.6652 0.6652 0.3346
Zr1 0.3348 0.3348 0.1688
Zr2 0.6652 0.6652 0.8312
Sc1 0.0000 0.0000 0.5000
N1 0.1643 0.1643 0.5902
N2 0.1689 0.1689 0.0775
N3 0.4966 0.4966 0.2554
N4 0.5034 0.5034 0.7446
N5 0.8311 0.8311 0.9225
N6 0.8357 0.8357 0.4098

Calculated values
Magnetization (μB/f.u.): 0.0
Total DFT energy (no corrections) (eV/cell): -108.68

---

2.
PrTmBeGa: relaxed, PBE.

a b c (Å): 5.0277 5.0277 5.0277
angles (deg): 60.00 60.00 60.00
Fractional coordinates of all 4 atoms:
Pr1 0.0000 0.0000 0.0000
Tm1 0.5000 0.5000 0.5000
Be1 0.7500 0.7500 0.7500
Ga1 0.2500 0.2500 0.2500

Calculated values
Magnetization (μB/f.u.): 0.0
Total DFT energy (no corrections) (eV/cell): -16.72
Calculated formation energy (eV/atom): -0.179

---

3.
TmZr5Al3: relaxed, PBE.

a b c (Å): 8.5593 8.5593 6.0058
angles (deg): 90.00 90.00 120.00
Fractional coordinates of all 18 atoms:
Tm1 0.0000 0.0000 0.0000
Tm2 0.0000 0.0000 0.5000
Zr1 0.0000 0.3354 0.2500
Zr2 0.0000 0.6646 0.7500
Zr3 0.3333 0.6667 0.0000
Zr4 0.3333 0.6667 0.5000
Zr5 0.3354 0.0000 0.2500
Zr6 0.3354 0.3354 0.7500
Zr7 0.6646 0.0000 0.7500
Zr8 0.6646 0.6646 0.2500
Zr9 0.6667 0.3333 0.0000
Zr10 0.6667 0.3333 0.5000
Al1 0.0000 0.3377 0.7500
Al2 0.0000 0.6623 0.2500
Al3 0.3377 0.0000 0.7500
Al4 0.3377 0.3377 0.2500
Al5 0.6623 0.0000 0.2500
Al6 0.6623 0.6623 0.7500

Calculated values
Magnetization (μB/f.u.): 0.0
Total DFT energy (no corrections) (eV/cell): -122.66
Calculated formation energy (eV/atom): -0.321

---

Q: Which value of magnetization does entry 1 give?
A: 0.0 μB/f.u.

---

Q: What is the formula in the second record?
A: PrTmBeGa

---

Copy entry 2 word for word.
PrTmBeGa: relaxed, PBE.

a b c (Å): 5.0277 5.0277 5.0277
angles (deg): 60.00 60.00 60.00
Fractional coordinates of all 4 atoms:
Pr1 0.0000 0.0000 0.0000
Tm1 0.5000 0.5000 0.5000
Be1 0.7500 0.7500 0.7500
Ga1 0.2500 0.2500 0.2500

Calculated values
Magnetization (μB/f.u.): 0.0
Total DFT energy (no corrections) (eV/cell): -16.72
Calculated formation energy (eV/atom): -0.179

---

Q: Among the records above, which one has the lowest total DFT energy (no corrections)?
A: TmZr5Al3